## NaCdSi2P (SCAN)

Data for a crystal of NaCdSi2P relaxed with PBEsol.

Crystal system   tetragonal
M_tot   0.0 μB/cell
Raw formation energy   160.86 kJ per mole of atoms
Raw total energy   -11.34 eV per atom

abc: 4.8735 4.8735 4.9331
angles: 90.00 90.00 90.00
Space group P4/mmm (No. 123)
One atom of each set of equivalent atoms:
1 Na 0.0000 0.0000 0.0000 [1 per cell]
2 Cd 0.0000 0.0000 0.5000 [1 per cell]
3 Si 0.0000 0.5000 0.0000 [2 per cell]
4 P 0.5000 0.5000 0.5000 [1 per cell]